PBE-GGA VRu2I, relaxed; formation energy (no corrections) = 0.81 eV per atom; mass density = 7.1 g/cm3; symmetry = I-42d, No. 122
1.0
5.4327 0.0000 0.0000
0.0000 5.4327 0.0000
0.0000 0.0000 12.0454
V Ru I
4 8 4
Cartesian
0.0000 0.0000 0.0000 V
0.0000 2.7163 3.0113 V
2.7163 0.0000 9.0340 V
2.7163 2.7163 6.0227 V
1.0660 1.3582 1.5057 Ru
1.3582 3.7823 4.5170 Ru
1.3582 4.3667 10.5397 Ru
1.6504 1.3582 7.5284 Ru
3.7823 4.0745 7.5284 Ru
4.0745 1.0660 10.5397 Ru
4.0745 1.6504 4.5170 Ru
4.3667 4.0745 1.5057 Ru
0.0000 0.0000 6.0227 I
0.0000 2.7163 9.0340 I
2.7163 0.0000 3.0113 I
2.7163 2.7163 0.0000 I



PBE-GGA V2RuI2, relaxed; formation energy (no corrections) = 0.93 eV per atom; mass density = 7.6 g/cm3; symmetry = I4/mmm, No. 139
1.0
3.4863 0.0000 0.0000
0.0000 3.4863 0.0000
0.0000 0.0000 16.4783
V Ru I
4 2 4
Cartesian
0.0000 1.7432 4.1196 V
0.0000 1.7432 12.3587 V
1.7432 0.0000 4.1196 V
1.7432 0.0000 12.3587 V
0.0000 0.0000 0.0000 Ru
1.7432 1.7432 8.2391 Ru
0.0000 0.0000 6.3400 I
0.0000 0.0000 10.1383 I
1.7432 1.7432 1.8992 I
1.7432 1.7432 14.5791 I



PBE-GGA VRuI, relaxed; formation energy (no corrections) = 0.00 eV per atom; mass density = 6.7 g/cm3; symmetry = Pm, No. 6
1.0
3.9981 0.0000 0.0000
0.0000 3.6718 0.0000
-1.9247 0.0000 9.4321
V Ru I
2 2 2
Cartesian
0.0000 0.0000 0.0000 V
0.1382 0.0000 7.7053 V
0.0321 1.8359 9.2600 Ru
2.0508 1.8359 7.4481 Ru
0.0344 1.8359 5.5446 I
2.0113 0.0000 1.9863 I